# 1
LiRuRh3: relaxed, PBE.

a = 4.078 Å, b = 4.078 Å, c = 4.078 Å
α = 90.00°, β = 90.00°, γ = 90.00°
Element x y z (fractional)
Ru  0.500  0.500  0.500
Rh  0.000  0.500  0.000
Rh  0.000  0.000  0.500
Rh  0.500  0.000  0.000
Li  0.000  0.000  0.000

Calculated values
Energy relative to the lowest polymorph listed for this composition: 0 meV per atom
DFT formation energy: 0.79 eV/atom

---

# 2
Nd2HoTh3S6: relaxed, PBE.

a = 4.017 Å, b = 8.070 Å, c = 9.048 Å
α = 104.20°, β = 102.83°, γ = 90.00°
Element x y z (fractional)
Nd  0.834  0.667  0.668
Nd  0.166  0.333  0.332
Ho  0.500  0.000  0.000
Th  0.500  0.500  0.000
Th  0.831  0.166  0.663
Th  0.169  0.834  0.337
S  0.338  0.920  0.677
S  0.667  0.583  0.335
S  0.662  0.080  0.323
S  0.999  0.238  0.997
S  0.001  0.762  0.003
S  0.333  0.417  0.665

Calculated values
Energy relative to the elements, uncorrected: -2203 kJ/mol of formula units

---

# 3
CaDy4Ge4: relaxed, PBE.

a = 5.802 Å, b = 9.421 Å, c = 9.421 Å
α = 90.00°, β = 90.00°, γ = 90.00°
Element x y z (fractional)
Ca  0.000  0.000  0.000
Ca  0.500  0.500  0.500
Dy  0.384  0.355  0.887
Dy  0.884  0.613  0.855
Dy  0.384  0.645  0.113
Dy  0.116  0.145  0.613
Dy  0.616  0.887  0.645
Dy  0.116  0.855  0.387
Dy  0.884  0.387  0.145
Dy  0.616  0.113  0.355
Ge  0.605  0.799  0.345
Ge  0.605  0.201  0.655
Ge  0.105  0.845  0.701
Ge  0.895  0.299  0.845
Ge  0.895  0.701  0.155
Ge  0.395  0.345  0.201
Ge  0.395  0.655  0.799
Ge  0.105  0.155  0.299

Calculated values
DFT formation energy: -0.60 eV/atom

---

# 4
CaAgBiPt: relaxed, PBE.

a = 5.004 Å, b = 5.004 Å, c = 5.004 Å
α = 60.00°, β = 60.00°, γ = 60.00°
Element x y z (fractional)
Ag  0.750  0.750  0.750
Ca  0.000  0.000  0.000
Bi  0.500  0.500  0.500
Pt  0.250  0.250  0.250

Calculated values
DFT formation energy: -0.43 eV/atom